[1]
Below is a relaxed MnRhAu2 crystal, with properties calculated at the PBE-GGA level.

The space group is I4/mmm (No. 139) and the conventional cell measures 3.9788, 3.9788 and 8.1500 Å, with angles of 90.00, 90.00 and 90.00 degrees. The asymmetric unit holds Mn at (0.0000, 0.0000, 0.0000), Rh at (0.0000, 0.0000, 0.5000) and Au at (0.0000, 0.5000, 0.2500).

As for the energy: -46.25 eV for the cell shown. For the density of states at the Fermi level, the calculation gives 0.98 states/eV/atom.


[2]
Below is a relaxed Mn2RhAu crystal, with properties calculated at the PBE-GGA level.

The space group is R3m (No. 160, hexagonal axes) and the conventional cell measures 2.7963, 2.7963 and 26.0479 Å, with angles of 90.00, 90.00 and 120.00 degrees. The asymmetric unit holds Mn at (0.0000, 0.0000, 0.0000), Mn at (0.0000, 0.0000, 0.2559), Rh at (0.0000, 0.0000, 0.7412) and Au at (0.0000, 0.0000, 0.5019).

As for the energy: -84.78 eV for the cell shown. For the density of states at the Fermi level, the calculation gives 1.33 states/eV/atom.


[3]
Below is a relaxed MnRhAu2 crystal, with properties calculated at the PBE-GGA level.

The space group is P4mm (No. 99) and the conventional cell measures 2.8848, 2.8848 and 7.7595 Å, with angles of 90.00, 90.00 and 90.00 degrees. The asymmetric unit holds Mn at (0.0000, 0.0000, 0.0000), Rh at (0.5000, 0.5000, 0.2057), Au at (0.0000, 0.0000, 0.4693) and Au at (0.5000, 0.5000, 0.7522).

As for the energy: -23.14 eV for the cell shown. For the density of states at the Fermi level, the calculation gives 0.94 states/eV/atom.


[4]
Below is a relaxed MnRhAu2 crystal, with properties calculated at the PBE-GGA level.

The space group is I-4m2 (No. 119) and the conventional cell measures 4.0350, 4.0350 and 7.9264 Å, with angles of 90.00, 90.00 and 90.00 degrees. The asymmetric unit holds Mn at (0.0000, 0.0000, 0.0000), Rh at (0.0000, 0.5000, 0.2500), Au at (0.0000, 0.0000, 0.5000) and Au at (0.0000, 0.5000, 0.7500).

As for the energy: -46.44 eV for the cell shown. For the density of states at the Fermi level, the calculation gives 0.68 states/eV/atom.


[5]
Below is a relaxed MnRh2Au crystal, with properties calculated at the PBE-GGA level.

The space group is I4/mmm (No. 139) and the conventional cell measures 3.9403, 3.9403 and 7.7004 Å, with angles of 90.00, 90.00 and 90.00 degrees. The asymmetric unit holds Mn at (0.0000, 0.0000, 0.0000), Rh at (0.0000, 0.5000, 0.2500) and Au at (0.0000, 0.0000, 0.5000).

As for the energy: -54.15 eV for the cell shown. For the density of states at the Fermi level, the calculation gives 1.10 states/eV/atom.


[6]
Below is a relaxed MnRhAu4 crystal, with properties calculated at the PBE-GGA level.

The space group is F-43m (No. 216) and the conventional cell measures 7.6363, 7.6363 and 7.6363 Å, with angles of 90.00, 90.00 and 90.00 degrees. The asymmetric unit holds Mn at (0.0000, 0.0000, 0.0000), Rh at (0.2500, 0.2500, 0.2500) and Au at (0.1249, 0.1249, 0.6249).

As for the energy: -110.87 eV for the cell shown. For the density of states at the Fermi level, the calculation gives 0.71 states/eV/atom.


[7]
Below is a relaxed MnRhAu2 crystal, with properties calculated at the PBE-GGA level.

The space group is Pm (No. 6) and the conventional cell measures 3.0240, 3.5274 and 6.0760 Å, with angles of 90.00, 90.13 and 90.00 degrees. The asymmetric unit holds Mn at (0.0000, 0.0000, 0.0000), Rh at (0.5007, 0.5000, 0.7978), Au at (0.9998, 0.0000, 0.5334) and Au at (0.4995, 0.5000, 0.2581).

As for the energy: -23.19 eV for the cell shown. For the density of states at the Fermi level, the calculation gives 0.71 states/eV/atom.


[8]
Below is a relaxed MnRh2Au crystal, with properties calculated at the PBE-GGA level.

The space group is F-43m (No. 216) and the conventional cell measures 6.2730, 6.2730 and 6.2730 Å, with angles of 90.00, 90.00 and 90.00 degrees. The asymmetric unit holds Mn at (0.0000, 0.0000, 0.0000), Rh at (0.0000, 0.0000, 0.5000), Rh at (0.2500, 0.2500, 0.2500) and Au at (0.2500, 0.2500, 0.7500).

As for the energy: -106.35 eV for the cell shown. For the density of states at the Fermi level, the calculation gives 1.45 states/eV/atom.


[9]
Below is a relaxed Mn2RhAu crystal, with properties calculated at the PBE-GGA level.

The space group is P2/m (No. 10) and the conventional cell measures 4.4697, 3.0161 and 4.8217 Å, with angles of 90.00, 107.24 and 90.00 degrees. The asymmetric unit holds Mn at (0.0000, 0.0000, 0.0000), Mn at (0.0000, 0.5000, 0.5000), Rh at (0.5000, 0.0000, 0.5000) and Au at (0.5000, 0.5000, 0.0000).

As for the energy: -28.60 eV for the cell shown. For the density of states at the Fermi level, the calculation gives 0.67 states/eV/atom.


[10]
Below is a relaxed MnRh2Au crystal, with properties calculated at the PBE-GGA level.

The space group is Pmmm (No. 47) and the conventional cell measures 3.1303, 4.4055 and 4.4754 Å, with angles of 90.00, 90.00 and 90.00 degrees. The asymmetric unit holds Mn at (0.0000, 0.0000, 0.0000), Rh at (0.0000, 0.5000, 0.5000), Rh at (0.5000, 0.5000, 0.0000) and Au at (0.5000, 0.0000, 0.5000).

As for the energy: -26.71 eV for the cell shown. For the density of states at the Fermi level, the calculation gives 1.21 states/eV/atom.


[11]
Below is a relaxed MnRh2Au crystal, with properties calculated at the PBE-GGA level.

The space group is I-4m2 (No. 119) and the conventional cell measures 3.9094, 3.9094 and 7.8688 Å, with angles of 90.00, 90.00 and 90.00 degrees. The asymmetric unit holds Mn at (0.0000, 0.0000, 0.0000), Rh at (0.0000, 0.0000, 0.5000), Rh at (0.0000, 0.5000, 0.7500) and Au at (0.0000, 0.5000, 0.2500).

As for the energy: -54.26 eV for the cell shown. For the density of states at the Fermi level, the calculation gives 1.51 states/eV/atom.


[12]
Below is a relaxed MnRhAu crystal, with properties calculated at the PBE-GGA level.

The space group is P3m1 (No. 156) and the conventional cell measures 2.8775, 2.8775 and 6.5764 Å, with angles of 90.00, 90.00 and 120.00 degrees. The asymmetric unit holds Mn at (0.0000, 0.0000, 0.0000), Rh at (0.6667, 0.3333, 0.2995) and Au at (0.3333, 0.6667, 0.6629).

Its offset from the most stable computed form is 0.082 eV per atom. For the density of states at the Fermi level, the calculation gives 0.77 states/eV/atom.